[1]
Here is an optimized crystal structure of HfFeAg from the Open Quantum Materials Database. Energies are from GGA-PBE.

Output
polymorph energy (0 for the lowest one) = 0.352 eV per atom
formation enthalpy at 0 K = 241.2 kJ/mol of formula units

a = 4.349 Å, b = 4.349 Å, c = 4.349 Å
α = 60.00°, β = 60.00°, γ = 60.00°
Positions (direct):
Hf  0.000  0.000  0.000
Fe  0.750  0.750  0.750
Ag  0.250  0.250  0.250

[2]
Here is an optimized crystal structure of HfFeAgSn from the Open Quantum Materials Database. Energies are from GGA-PBE.

Output
polymorph energy (0 for the lowest one) = 0.134 eV per atom

a = 4.632 Å, b = 4.632 Å, c = 4.632 Å
α = 60.00°, β = 60.00°, γ = 60.00°
Positions (direct):
Hf  0.250  0.250  0.250
Fe  0.750  0.750  0.750
Sn  0.000  0.000  0.000
Ag  0.500  0.500  0.500

[3]
Here is an optimized crystal structure of HfFeAgSn from the Open Quantum Materials Database. Energies are from GGA-PBE.

Output
polymorph energy (0 for the lowest one) = 0.000 eV per atom

a = 4.612 Å, b = 4.612 Å, c = 4.612 Å
α = 60.00°, β = 60.00°, γ = 60.00°
Positions (direct):
Fe  0.750  0.750  0.750
Hf  0.500  0.500  0.500
Ag  0.250  0.250  0.250
Sn  0.000  0.000  0.000

[4]
Here is an optimized crystal structure of HfTlFeAg from the Open Quantum Materials Database. Energies are from GGA-PBE.

Output
polymorph energy (0 for the lowest one) = 0.101 eV per atom

a = 4.664 Å, b = 4.664 Å, c = 4.664 Å
α = 60.00°, β = 60.00°, γ = 60.00°
Positions (direct):
Tl  0.000  0.000  0.000
Fe  0.750  0.750  0.750
Hf  0.250  0.250  0.250
Ag  0.500  0.500  0.500